(1)
! YCdB3 PBE optimized geometry; values from VASP
&SYSTEM
  ibrav = 0, nat = 5, ntyp = 3
/
ATOMIC_SPECIES
Y 88.91 Y.upf
Cd 112.41 Cd.upf
B 10.81 B.upf
CELL_PARAMETERS angstrom
4.676 0.000 0.000
0.000 4.676 0.000
0.000 0.000 4.676
ATOMIC_POSITIONS angstrom
Y 0.000 0.000 0.000
Cd 2.338 2.338 2.338
B 0.000 0.000 2.338
B 0.000 2.338 0.000
B 2.338 0.000 0.000
! Formation energy from the elements = 2091 meV per atom
! Calculated total energy = -16.96 eV/cell

***

(2)
! YCdB PBE optimized geometry; values from VASP
&SYSTEM
  ibrav = 0, nat = 6, ntyp = 3
/
ATOMIC_SPECIES
Y 88.91 Y.upf
Cd 112.41 Cd.upf
B 10.81 B.upf
CELL_PARAMETERS angstrom
4.211 0.000 0.000
0.000 3.729 0.000
-1.121 0.000 7.552
ATOMIC_POSITIONS angstrom
Y 0.000 0.000 0.000
Y 0.078 0.000 3.812
Cd 2.147 1.864 1.986
Cd 2.170 1.864 5.061
B 0.037 1.864 5.908
B 0.941 1.864 7.222
! Formation energy from the elements = -94 meV per atom
! Calculated total energy = -28.68 eV/cell

***

(3)
! YCdB PBE optimized geometry; values from VASP
&SYSTEM
  ibrav = 0, nat = 6, ntyp = 3
/
ATOMIC_SPECIES
Y 88.91 Y.upf
Cd 112.41 Cd.upf
B 10.81 B.upf
CELL_PARAMETERS angstrom
4.669 0.000 0.000
-2.334 4.043 0.000
0.000 0.000 5.805
ATOMIC_POSITIONS angstrom
Y 0.000 2.695 1.451
Y 2.334 1.348 4.353
Cd 0.000 0.000 0.000
Cd 0.000 0.000 2.902
B 0.000 2.695 4.353
B 2.334 1.348 1.451
! Formation energy from the elements = 161 meV per atom
! Calculated total energy = -27.15 eV/cell

***

(4)
! YCdB PBE optimized geometry; values from VASP
&SYSTEM
  ibrav = 0, nat = 6, ntyp = 3
/
ATOMIC_SPECIES
Y 88.91 Y.upf
Cd 112.41 Cd.upf
B 10.81 B.upf
CELL_PARAMETERS angstrom
5.070 0.000 0.000
0.000 3.294 0.000
-1.816 0.000 7.018
ATOMIC_POSITIONS angstrom
Y 0.000 0.000 0.000
Y -0.006 1.647 3.795
Cd 2.554 1.647 1.610
Cd 2.519 0.000 4.045
B 0.650 0.000 5.791
B 0.621 1.647 6.320
! Formation energy from the elements = -108 meV per atom
! Calculated total energy = -28.76 eV/cell

***

(5)
! YCdB PBE optimized geometry; values from VASP
&SYSTEM
  ibrav = 0, nat = 12, ntyp = 3
/
ATOMIC_SPECIES
Y 88.91 Y.upf
Cd 112.41 Cd.upf
B 10.81 B.upf
CELL_PARAMETERS angstrom
9.810 0.000 0.000
0.000 3.205 0.000
0.000 0.000 8.240
ATOMIC_POSITIONS angstrom
Y 0.034 0.801 1.627
Y 4.871 2.404 5.747
Y 4.940 0.801 2.493
Y 9.776 2.404 6.614
Cd 2.411 2.404 3.592
Cd 2.494 0.801 7.712
Cd 7.316 2.404 0.528
Cd 7.400 0.801 4.648
B 0.000 0.000 4.120
B 0.000 1.603 4.120
B 4.905 0.000 0.000
B 4.905 1.603 0.000
! Formation energy from the elements = 26 meV per atom
! Calculated total energy = -55.92 eV/cell

***

(6)
! YCdB PBE optimized geometry; values from VASP
&SYSTEM
  ibrav = 0, nat = 12, ntyp = 3
/
ATOMIC_SPECIES
Y 88.91 Y.upf
Cd 112.41 Cd.upf
B 10.81 B.upf
CELL_PARAMETERS angstrom
7.422 0.000 0.000
0.000 5.098 0.000
0.000 0.000 6.034
ATOMIC_POSITIONS angstrom
Y 1.231 1.275 0.891
Y 2.480 3.824 3.908
Y 4.942 1.275 2.127
Y 6.191 3.824 5.144
Cd 0.302 1.275 3.953
Cd 3.409 3.824 0.936
Cd 4.013 1.275 5.099
Cd 7.120 3.824 2.082
B 1.185 3.824 0.128
B 2.526 1.275 3.145
B 4.896 3.824 2.890
B 6.237 1.275 5.907
! Formation energy from the elements = 39 meV per atom
! Calculated total energy = -55.76 eV/cell

***

(7)
! YCdB PBE optimized geometry; values from VASP
&SYSTEM
  ibrav = 0, nat = 6, ntyp = 3
/
ATOMIC_SPECIES
Y 88.91 Y.upf
Cd 112.41 Cd.upf
B 10.81 B.upf
CELL_PARAMETERS angstrom
4.962 -1.866 0.000
4.962 1.866 0.000
-4.730 0.000 6.090
ATOMIC_POSITIONS angstrom
Y -0.868 0.000 2.006
Y 6.063 0.000 4.084
Cd -1.128 0.000 5.365
Cd 6.322 0.000 0.725
B 1.940 0.000 2.551
B 3.254 0.000 3.539
! Formation energy from the elements = -173 meV per atom
! Calculated total energy = -29.15 eV/cell

***

(8)
! Y2CdB2 PBE optimized geometry; values from VASP
&SYSTEM
  ibrav = 0, nat = 10, ntyp = 3
/
ATOMIC_SPECIES
Y 88.91 Y.upf
Cd 112.41 Cd.upf
B 10.81 B.upf
CELL_PARAMETERS angstrom
6.910 0.000 0.000
0.000 6.910 0.000
0.000 0.000 3.750
ATOMIC_POSITIONS angstrom
Y 1.245 2.210 0.000
Y 2.210 5.665 0.000
Y 4.700 1.245 0.000
Y 5.665 4.700 0.000
Cd 0.000 0.000 1.875
Cd 3.455 3.455 1.875
B 0.583 4.038 1.875
B 2.872 0.583 1.875
B 4.038 6.326 1.875
B 6.326 2.872 1.875
! Formation energy from the elements = -266 meV per atom
! Calculated total energy = -57.05 eV/cell

***

(9)
! YCdB3 PBE optimized geometry; values from VASP
&SYSTEM
  ibrav = 0, nat = 5, ntyp = 3
/
ATOMIC_SPECIES
Y 88.91 Y.upf
Cd 112.41 Cd.upf
B 10.81 B.upf
CELL_PARAMETERS angstrom
4.357 0.000 0.000
0.000 4.357 0.000
0.000 0.000 4.357
ATOMIC_POSITIONS angstrom
Y 0.000 0.000 0.000
Cd 2.178 2.178 2.178
B 0.000 2.178 2.178
B 2.178 0.000 2.178
B 2.178 2.178 0.000
! Formation energy from the elements = 1544 meV per atom
! Calculated total energy = -19.69 eV/cell

***

(10)
! YCdB PBE optimized geometry; values from VASP
&SYSTEM
  ibrav = 0, nat = 6, ntyp = 3
/
ATOMIC_SPECIES
Y 88.91 Y.upf
Cd 112.41 Cd.upf
B 10.81 B.upf
CELL_PARAMETERS angstrom
5.404 -1.628 0.000
5.404 1.628 0.000
-2.266 0.000 6.703
ATOMIC_POSITIONS angstrom
Y 0.000 0.000 0.000
Y 4.953 0.000 3.499
Cd 0.604 0.000 6.005
Cd 7.806 0.000 1.776
B 2.536 0.000 4.567
B 8.224 0.000 4.124
! Formation energy from the elements = -99 meV per atom
! Calculated total energy = -28.71 eV/cell

***

(11)
! YCdB PBE optimized geometry; values from VASP
&SYSTEM
  ibrav = 0, nat = 6, ntyp = 3
/
ATOMIC_SPECIES
Y 88.91 Y.upf
Cd 112.41 Cd.upf
B 10.81 B.upf
CELL_PARAMETERS angstrom
2.883 -1.665 0.000
2.883 1.665 0.000
-1.934 0.000 11.695
ATOMIC_POSITIONS angstrom
Y 0.000 0.000 0.000
Y 0.000 0.000 3.728
Cd -0.009 0.000 8.956
Cd 1.923 0.000 6.468
B 1.922 0.000 1.865
B 3.843 0.000 1.867
! Formation energy from the elements = -345 meV per atom
! Calculated total energy = -30.18 eV/cell

***

(12)
! Zn2CdB PBE optimized geometry; values from VASP
&SYSTEM
  ibrav = 0, nat = 8, ntyp = 3
/
ATOMIC_SPECIES
Zn 65.41 Zn.upf
Cd 112.41 Cd.upf
B 10.81 B.upf
CELL_PARAMETERS angstrom
-2.366 2.366 6.662
2.366 -2.366 6.662
2.366 2.366 -6.662
ATOMIC_POSITIONS angstrom
Zn 0.421 1.183 1.666
Zn -1.183 1.945 4.997
Zn -0.421 3.549 1.666
Zn 1.183 2.787 4.997
Cd 2.366 0.000 3.331
Cd 0.000 0.000 6.662
B 0.000 0.000 0.000
B 0.000 2.366 3.331
! Formation energy from the elements = 591 meV per atom
! Calculated total energy = -15.55 eV/cell

***

(13)
! ZnCd3B PBE optimized geometry; values from VASP
&SYSTEM
  ibrav = 0, nat = 5, ntyp = 3
/
ATOMIC_SPECIES
Zn 65.41 Zn.upf
Cd 112.41 Cd.upf
B 10.81 B.upf
CELL_PARAMETERS angstrom
5.000 0.000 0.000
0.000 5.000 0.000
0.000 0.000 5.000
ATOMIC_POSITIONS angstrom
Zn 0.000 0.000 0.000
Cd 0.000 0.000 2.500
Cd 0.000 2.500 0.000
Cd 2.500 0.000 0.000
B 2.500 2.500 2.500
! Formation energy from the elements = 1149 meV per atom
! Calculated total energy = -4.95 eV/cell

***

(14)
! ZnCd2B PBE optimized geometry; values from VASP
&SYSTEM
  ibrav = 0, nat = 4, ntyp = 3
/
ATOMIC_SPECIES
Zn 65.41 Zn.upf
Cd 112.41 Cd.upf
B 10.81 B.upf
CELL_PARAMETERS angstrom
0.000 3.249 3.249
3.249 0.000 3.249
3.249 3.249 0.000
ATOMIC_POSITIONS angstrom
Zn 0.000 0.000 0.000
Cd 1.625 1.625 1.625
Cd 4.874 4.874 4.874
B 3.249 3.249 3.249
! Formation energy from the elements = 861 meV per atom
! Calculated total energy = -6.34 eV/cell

***

(15)
! ZnCdB2 PBE optimized geometry; values from VASP
&SYSTEM
  ibrav = 0, nat = 8, ntyp = 3
/
ATOMIC_SPECIES
Zn 65.41 Zn.upf
Cd 112.41 Cd.upf
B 10.81 B.upf
CELL_PARAMETERS angstrom
-1.843 1.843 7.950
1.843 -1.843 7.950
1.843 1.843 -7.950
ATOMIC_POSITIONS angstrom
Zn 1.843 0.922 1.988
Zn 0.000 0.922 5.963
Cd 1.843 -0.922 5.963
Cd 0.000 2.765 1.988
B 1.843 0.000 0.000
B -0.922 0.922 3.975
B 0.000 0.000 7.950
B 0.922 0.922 3.975
! Formation energy from the elements = 881 meV per atom
! Calculated total energy = -24.04 eV/cell

***

(16)
! ZnCd2B PBE optimized geometry; values from VASP
&SYSTEM
  ibrav = 0, nat = 8, ntyp = 3
/
ATOMIC_SPECIES
Zn 65.41 Zn.upf
Cd 112.41 Cd.upf
B 10.81 B.upf
CELL_PARAMETERS angstrom
-2.538 2.538 6.937
2.538 -2.538 6.937
2.538 2.538 -6.937
ATOMIC_POSITIONS angstrom
Zn 0.000 0.000 0.000
Zn 0.000 2.538 3.468
Cd 1.269 -0.786 5.203
Cd 1.753 1.269 1.734
Cd 1.269 3.324 -1.734
Cd 0.786 1.269 8.671
B 2.538 0.000 3.468
B 0.000 0.000 6.937
! Formation energy from the elements = 844 meV per atom
! Calculated total energy = -12.81 eV/cell

***

(17)
! ZnCd3B PBE optimized geometry; values from VASP
&SYSTEM
  ibrav = 0, nat = 5, ntyp = 3
/
ATOMIC_SPECIES
Zn 65.41 Zn.upf
Cd 112.41 Cd.upf
B 10.81 B.upf
CELL_PARAMETERS angstrom
4.647 0.000 0.000
0.000 4.647 0.000
0.000 0.000 4.647
ATOMIC_POSITIONS angstrom
Zn 0.000 0.000 0.000
Cd 0.000 2.324 2.324
Cd 2.324 0.000 2.324
Cd 2.324 2.324 0.000
B 2.324 2.324 2.324
! Formation energy from the elements = 475 meV per atom
! Calculated total energy = -8.32 eV/cell

***

(18)
! Zn3CdB PBE optimized geometry; values from VASP
&SYSTEM
  ibrav = 0, nat = 5, ntyp = 3
/
ATOMIC_SPECIES
Zn 65.41 Zn.upf
Cd 112.41 Cd.upf
B 10.81 B.upf
CELL_PARAMETERS angstrom
4.966 0.000 0.000
0.000 4.966 0.000
0.000 0.000 4.966
ATOMIC_POSITIONS angstrom
Zn 0.000 0.000 2.483
Zn 0.000 2.483 0.000
Zn 2.483 0.000 0.000
Cd 0.000 0.000 0.000
B 2.483 2.483 2.483
! Formation energy from the elements = 1392 meV per atom
! Calculated total energy = -4.45 eV/cell

***

(19)
! Zn3CdB PBE optimized geometry; values from VASP
&SYSTEM
  ibrav = 0, nat = 5, ntyp = 3
/
ATOMIC_SPECIES
Zn 65.41 Zn.upf
Cd 112.41 Cd.upf
B 10.81 B.upf
CELL_PARAMETERS angstrom
4.309 0.000 0.000
0.000 4.309 0.000
0.000 0.000 4.309
ATOMIC_POSITIONS angstrom
Zn 0.000 0.000 2.155
Zn 0.000 2.155 0.000
Zn 2.155 0.000 0.000
Cd 2.155 2.155 2.155
B 0.000 0.000 0.000
! Formation energy from the elements = 336 meV per atom
! Calculated total energy = -9.73 eV/cell

***

(20)
! Zn2CdB PBE optimized geometry; values from VASP
&SYSTEM
  ibrav = 0, nat = 4, ntyp = 3
/
ATOMIC_SPECIES
Zn 65.41 Zn.upf
Cd 112.41 Cd.upf
B 10.81 B.upf
CELL_PARAMETERS angstrom
0.000 3.137 3.137
3.137 0.000 3.137
3.137 3.137 0.000
ATOMIC_POSITIONS angstrom
Zn 1.568 1.568 1.568
Zn 4.705 4.705 4.705
Cd 0.000 0.000 0.000
B 3.137 3.137 3.137
! Formation energy from the elements = 884 meV per atom
! Calculated total energy = -6.60 eV/cell

***

(21)
! ZnCdB2 PBE optimized geometry; values from VASP
&SYSTEM
  ibrav = 0, nat = 4, ntyp = 3
/
ATOMIC_SPECIES
Zn 65.41 Zn.upf
Cd 112.41 Cd.upf
B 10.81 B.upf
CELL_PARAMETERS angstrom
0.000 2.970 2.970
2.970 0.000 2.970
2.970 2.970 0.000
ATOMIC_POSITIONS angstrom
Zn 0.000 0.000 0.000
Cd 2.970 2.970 2.970
B 1.485 1.485 1.485
B 4.456 4.456 4.456
! Formation energy from the elements = 1407 meV per atom
! Calculated total energy = -9.91 eV/cell

***

(22)
! Zr5Cd2B2 PBE optimized geometry; values from VASP
&SYSTEM
  ibrav = 0, nat = 18, ntyp = 3
/
ATOMIC_SPECIES
Zr 91.22 Zr.upf
Cd 112.41 Cd.upf
B 10.81 B.upf
CELL_PARAMETERS angstrom
7.829 -3.276 0.000
7.829 3.276 0.000
0.000 0.000 6.578
ATOMIC_POSITIONS angstrom
Zr 0.000 0.000 0.000
Zr 6.166 2.051 4.482
Zr 6.166 1.225 1.193
Zr 9.492 2.051 4.482
Zr 9.492 1.225 1.193
Zr 7.829 0.000 3.289
Zr 6.166 -1.225 5.384
Zr 6.166 -2.051 2.096
Zr 9.492 -1.225 5.384
Zr 9.492 -2.051 2.096
Cd 3.641 0.000 0.000
Cd 4.188 0.000 3.289
Cd 11.470 0.000 3.289
Cd 12.017 0.000 0.000
B 7.829 2.639 2.635
B 7.829 0.637 5.924
B 7.829 -0.637 0.654
B 7.829 -2.639 3.943
! Formation energy from the elements = -266 meV per atom
! Calculated total energy = -120.64 eV/cell

***

(23)
! ZrCdB3 PBE optimized geometry; values from VASP
&SYSTEM
  ibrav = 0, nat = 5, ntyp = 3
/
ATOMIC_SPECIES
Zr 91.22 Zr.upf
Cd 112.41 Cd.upf
B 10.81 B.upf
CELL_PARAMETERS angstrom
4.462 0.000 0.000
0.000 4.462 0.000
0.000 0.000 4.462
ATOMIC_POSITIONS angstrom
Zr 0.000 0.000 0.000
Cd 2.231 2.231 2.231
B 0.000 0.000 2.231
B 0.000 2.231 0.000
B 2.231 0.000 0.000
! Formation energy from the elements = 1659 meV per atom
! Calculated total energy = -21.20 eV/cell

***

(24)
! Zr3CdB PBE optimized geometry; values from VASP
&SYSTEM
  ibrav = 0, nat = 5, ntyp = 3
/
ATOMIC_SPECIES
Zr 91.22 Zr.upf
Cd 112.41 Cd.upf
B 10.81 B.upf
CELL_PARAMETERS angstrom
4.669 0.000 0.000
0.000 4.669 0.000
0.000 0.000 4.669
ATOMIC_POSITIONS angstrom
Zr 0.000 0.000 2.335
Zr 0.000 2.335 0.000
Zr 2.335 0.000 0.000
Cd 2.335 2.335 2.335
B 0.000 0.000 0.000
! Formation energy from the elements = -256 meV per atom
! Calculated total energy = -34.52 eV/cell

***

(25)
! ZrCdB3 PBE optimized geometry; values from VASP
&SYSTEM
  ibrav = 0, nat = 5, ntyp = 3
/
ATOMIC_SPECIES
Zr 91.22 Zr.upf
Cd 112.41 Cd.upf
B 10.81 B.upf
CELL_PARAMETERS angstrom
4.239 0.000 0.000
0.000 4.239 0.000
0.000 0.000 4.239
ATOMIC_POSITIONS angstrom
Zr 0.000 0.000 0.000
Cd 2.120 2.120 2.120
B 0.000 2.120 2.120
B 2.120 0.000 2.120
B 2.120 2.120 0.000
! Formation energy from the elements = 1848 meV per atom
! Calculated total energy = -20.26 eV/cell

***

(26)
! CeB6 PBE optimized geometry; values from VASP
&SYSTEM
  ibrav = 0, nat = 7, ntyp = 2
/
ATOMIC_SPECIES
Ce 140.12 Ce.upf
B 10.81 B.upf
CELL_PARAMETERS angstrom
4.114 0.000 0.000
0.000 4.114 0.000
0.000 0.000 4.114
ATOMIC_POSITIONS angstrom
Ce 0.000 0.000 0.000
B 0.817 2.057 2.057
B 2.057 0.817 2.057
B 2.057 2.057 0.817
B 2.057 2.057 3.298
B 2.057 3.298 2.057
B 3.298 2.057 2.057
! Formation energy from the elements = -518 meV per atom
! Calculated total energy = -49.62 eV/cell